# 1
Sn4Pb3Se8: optimized geometry, PBE.

Unit cell a=8.588 b=8.623 c=8.623 alpha=90.00 beta=119.88 gamma=119.88
Atoms (fractional coordinates):
1 Sn 0.500 0.000 0.000
2 Sn 0.000 0.000 0.500
3 Sn 0.000 0.500 0.000
4 Sn 0.000 0.000 0.000
5 Se 0.005 0.772 0.772
6 Se 0.995 0.228 0.228
7 Se 0.500 0.247 0.753
8 Se 0.455 0.225 0.225
9 Se 0.545 0.775 0.775
10 Se 0.000 0.229 0.771
11 Se 0.500 0.753 0.247
12 Se 0.000 0.771 0.229
13 Pb 0.500 0.500 0.000
14 Pb 0.500 0.500 0.500
15 Pb 0.500 0.000 0.500

Properties
The uncorrected formation energy is -43.48 kJ per mole of atoms. The total energy is -61.77 eV per cell.



# 2
SrCr2Ir: optimized geometry, PBE.

Unit cell a=2.893 b=4.133 c=6.418 alpha=90.00 beta=90.00 gamma=90.00
Atoms (fractional coordinates):
1 Cr 0.000 0.000 0.105
2 Cr 0.000 0.000 0.395
3 Sr 0.500 0.500 0.750
4 Ir 0.500 0.500 0.250

Properties
The total energy is -27.62 eV per cell. The value obtained for the energy above the most stable polymorph in this dataset is 151 meV per atom.



# 3
NaAs2N: optimized geometry, PBE.

Unit cell a=6.491 b=6.491 c=5.863 alpha=56.39 beta=56.39 gamma=90.00
Atoms (fractional coordinates):
1 Na 0.000 0.000 0.000
2 Na 0.750 0.250 0.500
3 As 0.509 0.125 0.250
4 As 0.241 0.625 0.250
5 As 0.875 0.759 0.750
6 As 0.375 0.491 0.750
7 N 0.250 0.750 0.500
8 N 0.500 0.500 0.000

Properties
The uncorrected formation energy is 40.05 kJ per mole of atoms. The total energy is -34.57 eV per cell.



# 4
MnNbGa2: optimized geometry, PBE.

Unit cell a=2.806 b=2.806 c=7.753 alpha=90.00 beta=90.00 gamma=90.00
Last column: magnetic moment on the atom in μB.
Atoms (fractional coordinates):
1 Nb 0.500 0.500 0.000  0.12
2 Ga 0.000 0.000 0.270  -0.06
3 Ga 0.000 0.000 0.730  -0.06
4 Mn 0.500 0.500 0.500  2.89

Properties
The total energy is -25.96 eV per cell.



# 5
Y2BiI: optimized geometry, PBE.

Unit cell a=4.270 b=4.270 c=8.372 alpha=75.23 beta=75.23 gamma=60.00
Atoms (fractional coordinates):
1 Y 0.076 0.076 0.773
2 Y 0.258 0.258 0.226
3 Bi 0.668 0.668 0.996
4 I 0.499 0.499 0.504

Properties
The uncorrected formation energy is -73.02 kJ per mole of atoms. The total energy is -21.39 eV per cell. The value obtained for the energy above the most stable polymorph in this dataset is 0 meV per atom.



# 6
NaY2Au: optimized geometry, PBE.

Unit cell a=3.559 b=3.559 c=9.474 alpha=90.00 beta=90.00 gamma=90.00
Atoms (fractional coordinates):
1 Y 0.000 0.000 0.185
2 Y 0.000 0.000 0.815
3 Na 0.500 0.500 0.500
4 Au 0.500 0.500 0.000

Properties
The total energy is -18.63 eV per cell. The value obtained for the energy above the most stable polymorph in this dataset is 0 meV per atom.



# 7
LaRh2F2: optimized geometry, PBE.

Unit cell a=3.426 b=3.426 c=8.193 alpha=77.93 beta=77.93 gamma=90.00
Atoms (fractional coordinates):
1 Rh 0.250 0.750 0.500
2 Rh 0.750 0.250 0.500
3 F 0.572 0.572 0.857
4 F 0.428 0.428 0.143
5 La 0.000 0.000 0.000

Properties
The uncorrected formation energy is -121.95 kJ per mole of atoms. The total energy is -29.69 eV per cell. The value obtained for the energy above the most stable polymorph in this dataset is 75 meV per atom.



# 8
CsCaPd3: optimized geometry, PBE.

Unit cell a=5.304 b=5.304 c=5.304 alpha=90.00 beta=90.00 gamma=90.00
Atoms (fractional coordinates):
1 Cs 0.500 0.500 0.500
2 Pd 0.000 0.500 0.000
3 Pd 0.500 0.000 0.000
4 Pd 0.000 0.000 0.500
5 Ca 0.000 0.000 0.000

Properties
The total energy is -16.63 eV per cell. The value obtained for the energy above the most stable polymorph in this dataset is 0 meV per atom.